# 1
VASP calculation (PBE) on an optimized crystal structure of Mn2ZnCu.

Calculated values
ΔH_f (0 K)   0.68 eV/f.u.
Size of the total moment   6.4 μB per formula unit

Cell lengths 4.609, 4.609, 4.558 Å; angles 101.67, 101.67, 34.23 degrees
Atoms (fractional coordinates):
Mn 0.000 0.000 0.000
Mn 0.250 0.250 0.737
Zn 0.753 0.753 0.241
Cu 0.500 0.500 0.500



# 2
VASP calculation (PBE) on an optimized crystal structure of MnZn4Cu5.

Calculated values
ΔH_f (0 K)   0.59 eV/f.u.
Size of the total moment   3.8 μB per formula unit

Cell lengths 4.912, 4.912, 7.716 Å; angles 91.91, 91.91, 48.83 degrees
Atoms (fractional coordinates):
Mn 0.000 0.000 0.000
Zn 0.186 0.186 0.749
Zn 0.468 0.468 0.741
Zn 0.532 0.532 0.259
Zn 0.814 0.814 0.251
Cu 0.000 0.000 0.500
Cu 0.315 0.315 0.455
Cu 0.323 0.323 0.040
Cu 0.677 0.677 0.960
Cu 0.685 0.685 0.545



# 3
VASP calculation (PBE) on an optimized crystal structure of Mn3ZnCu.

Calculated values
E above lowest polymorph   199.6 meV per atom
ΔH_f (0 K)   5.66 eV/f.u.
Size of the total moment   11.8 μB per formula unit

Cell lengths 4.578, 4.578, 4.578 Å; angles 90.00, 90.00, 90.00 degrees
Atoms (fractional coordinates):
Mn 0.000 0.000 0.500
Mn 0.000 0.500 0.000
Mn 0.500 0.000 0.000
Zn 0.000 0.000 0.000
Cu 0.500 0.500 0.500



# 4
VASP calculation (PBE) on an optimized crystal structure of MnZnCu3.

Calculated values
E above lowest polymorph   257.1 meV per atom
ΔH_f (0 K)   5.22 eV/f.u.
Size of the total moment   4.2 μB per formula unit

Cell lengths 4.548, 4.548, 4.548 Å; angles 90.00, 90.00, 90.00 degrees
Atoms (fractional coordinates):
Mn 0.000 0.000 0.000
Zn 0.500 0.500 0.500
Cu 0.000 0.000 0.500
Cu 0.000 0.500 0.000
Cu 0.500 0.000 0.000



# 5
VASP calculation (PBE) on an optimized crystal structure of MnZn4Cu15.

Calculated values
ΔH_f (0 K)   -0.62 eV/f.u.
Size of the total moment   4.3 μB per formula unit

Cell lengths 3.644, 3.644, 18.786 Å; angles 90.00, 90.00, 90.00 degrees
Atoms (fractional coordinates):
Mn 0.000 0.000 0.000
Zn 0.000 0.000 0.200
Zn 0.000 0.000 0.400
Zn 0.000 0.000 0.600
Zn 0.000 0.000 0.800
Cu 0.000 0.500 0.100
Cu 0.000 0.500 0.301
Cu 0.000 0.500 0.500
Cu 0.000 0.500 0.699
Cu 0.000 0.500 0.900
Cu 0.500 0.000 0.100
Cu 0.500 0.000 0.301
Cu 0.500 0.000 0.500
Cu 0.500 0.000 0.699
Cu 0.500 0.000 0.900
Cu 0.500 0.500 0.000
Cu 0.500 0.500 0.201
Cu 0.500 0.500 0.401
Cu 0.500 0.500 0.599
Cu 0.500 0.500 0.799



# 6
VASP calculation (PBE) on an optimized crystal structure of MnZn2Cu.

Calculated values
ΔH_f (0 K)   -0.06 eV/f.u.
Size of the total moment   2.8 μB per formula unit

Cell lengths 2.739, 2.739, 7.052 Å; angles 90.00, 90.00, 90.00 degrees
Atoms (fractional coordinates):
Mn 0.000 0.000 0.000
Zn 0.500 0.500 0.253
Zn 0.500 0.500 0.747
Cu 0.000 0.000 0.500